Computed, not measured: HoAlFeO4 after structural relaxation at the PBE with a Hubbard U level of DFT.

Unit cell a=6.0780 b=6.3866 c=8.6587 alpha=90.00 beta=90.00 gamma=90.00
Space group Imma (No. 74)
Unique sites:
Ho1 0.0000 0.0000 0.0000
Al1 0.0000 0.2500 0.3767
Fe1 0.2500 0.2500 0.7500
O1 0.0000 0.0094 0.2605
O2 0.2413 0.2500 0.5003

- N(E_F): 0.0000 states/eV/atom
- E: -7.486 eV per atom